1.
Computed, not measured: a crystal of Sr2LaSe relaxed with PBEsol at the SCAN level of DFT.

Values from the calculation:
- Space group: Cmmm
- Electronic total energy: -27.81 eV/atom

Cell lengths 4.0386, 6.0224, 7.1623 Å; angles 114.86, 90.00, 90.00 degrees
Last column: nearest neighbours and their distance in Å.
Positions (direct):
Sr 0.0000 0.3302 0.1604  2 Se 2.99
Sr 0.0000 0.6698 0.8396  2 Se 2.99
Se 0.5000 0.5000 0.5000  4 Sr 2.99, 2 La 3.01
La 0.5000 0.0000 0.5000  2 Se 3.01

***

2.
Computed, not measured: a crystal of LaTaSe3 relaxed with PBEsol at the SCAN level of DFT.

Values from the calculation:
- Space group: Pm-3m
- Electronic total energy: -35.02 eV/atom

Cell lengths 4.9611, 4.9611, 4.9611 Å; angles 90.00, 90.00, 90.00 degrees
Last column: nearest neighbours and their distance in Å.
Positions (direct):
La 0.5000 0.5000 0.5000  12 Se 3.51
Se 0.0000 0.0000 0.5000  2 Ta 2.48
Se 0.0000 0.5000 0.0000  2 Ta 2.48
Se 0.5000 0.0000 0.0000  2 Ta 2.48
Ta 0.0000 0.0000 0.0000  6 Se 2.48

***

3.
Computed, not measured: a crystal of LaTaSe relaxed with PBEsol at the SCAN level of DFT.

Values from the calculation:
- Space group: I4mm
- Relative energy among the computed polymorphs: 0 meV per atom

Cell lengths 3.3542, 3.3542, 6.2920 Å; angles 105.46, 105.46, 90.00 degrees
Last column: nearest neighbours and their distance in Å.
Positions (direct):
Ta 0.3003 0.3003 0.6006  4 Se 2.65
La 0.0015 0.0015 0.0030  5 Se 3.30-3.53, 5 Ta 3.34-3.48, 4 La 3.35
Se 0.6982 0.6982 0.3964  4 Ta 2.65